[1]
# Pm6Hg2Se3, relaxed, DFT PBE
data_Pm6Hg2Se3
_cell_length_a 7.197
_cell_length_b 12.429
_cell_length_c 7.712
_cell_angle_alpha 90.00
_cell_angle_beta 108.56
_cell_angle_gamma 90.00
_symmetry_space_group_name_H-M 'C 1 2/m 1'
_symmetry_Int_Tables_number 12
loop_
_symmetry_equiv_pos_as_xyz
'x,y,z'
'-x,-y,-z'
'-x,y,-z'
'x,-y,z'
'x+1/2,y+1/2,z'
'-x+1/2,-y+1/2,-z'
'-x+1/2,y+1/2,-z'
'x+1/2,-y+1/2,z'
loop_
_atom_site_label
_atom_site_type_symbol
_atom_site_fract_x
_atom_site_fract_y
_atom_site_fract_z
_atom_site_occupancy
Pm1 Pm 0.233 0.000 0.226 1
Pm2 Pm 0.245 0.161 0.760 1
Hg1 Hg 0.000 0.339 0.500 1
Se1 Se 0.000 0.174 0.000 1
Se2 Se 0.000 0.500 0.000 1
# **VASP energy**: -4.691 eV/atom
# **Volume**: 654 Å³/cell

[2]
# ZrTi2Rh, relaxed, DFT PBE
data_ZrTi2Rh
_cell_length_a 7.329
_cell_length_b 7.329
_cell_length_c 5.584
_cell_angle_alpha 90.00
_cell_angle_beta 90.00
_cell_angle_gamma 90.00
_symmetry_space_group_name_H-M 'I -4 2 d'
_symmetry_Int_Tables_number 122
_symmetry_space_group_name_Hall 'I -4 2bw'
loop_
_atom_site_label
_atom_site_type_symbol
_atom_site_fract_x
_atom_site_fract_y
_atom_site_fract_z
_atom_site_occupancy
Zr1 Zr 0.000 0.000 0.000 1
Ti1 Ti 0.204 0.250 0.625 1
Rh1 Rh 0.000 0.000 0.500 1
# **VASP energy**: -8.033 eV/atom
# **Volume**: 300 Å³/cell

[3]
# SrTcI2N, relaxed, DFT PBE
data_SrTcI2N
_cell_length_a 6.374
_cell_length_b 6.374
_cell_length_c 4.768
_cell_angle_alpha 90.00
_cell_angle_beta 90.00
_cell_angle_gamma 90.00
_symmetry_space_group_name_H-M 'P 4/m m m'
_symmetry_Int_Tables_number 123
_symmetry_space_group_name_Hall '-P 4 2'
loop_
_atom_site_label
_atom_site_type_symbol
_atom_site_fract_x
_atom_site_fract_y
_atom_site_fract_z
_atom_site_occupancy
Sr1 Sr 0.000 0.000 0.000 1
Tc1 Tc 0.500 0.500 0.500 1
I1 I 0.000 0.500 0.000 1
N1 N 0.000 0.000 0.500 1
# **VASP energy**: -3.658 eV/atom
# **Volume**: 194 Å³/cell

[4]
# Pm3Pu4Ge4, relaxed, DFT PBE
data_Pm3Pu4Ge4
_cell_length_a 8.637
_cell_length_b 8.637
_cell_length_c 8.637
_cell_angle_alpha 90.00
_cell_angle_beta 90.00
_cell_angle_gamma 90.00
_symmetry_space_group_name_H-M 'I -4 3 m'
_symmetry_Int_Tables_number 217
_symmetry_space_group_name_Hall 'I -4 2 3'
loop_
_atom_site_label
_atom_site_type_symbol
_atom_site_fract_x
_atom_site_fract_y
_atom_site_fract_z
_atom_site_occupancy
Pm1 Pm 0.000 0.000 0.500 1
Pu1 Pu 0.127 0.127 0.127 1
Ge1 Ge 0.193 0.193 0.807 1
# **VASP energy**: -8.265 eV/atom
# **Volume**: 644 Å³/cell

[5]
# MnGePSN, relaxed, DFT PBE
data_MnGePSN
_cell_length_a 8.068
_cell_length_b 2.811
_cell_length_c 6.527
_cell_angle_alpha 90.00
_cell_angle_beta 112.94
_cell_angle_gamma 90.00
_symmetry_space_group_name_H-M 'C 1 m 1'
_symmetry_Int_Tables_number 8
loop_
_symmetry_equiv_pos_as_xyz
'x,y,z'
'x,-y,z'
'x+1/2,y+1/2,z'
'x+1/2,-y+1/2,z'
loop_
_atom_site_label
_atom_site_type_symbol
_atom_site_fract_x
_atom_site_fract_y
_atom_site_fract_z
_atom_site_occupancy
Mn1 Mn 0.000 0.000 0.000 1
Ge1 Ge 0.364 0.000 0.665 1
P1 P 0.064 0.000 0.374 1
S1 S 0.211 0.500 0.010 1
N1 N 0.482 0.000 0.455 1
# **VASP energy**: -6.412 eV/atom
# **Volume**: 136 Å³/cell

[6]
# Sc5Hg, relaxed, DFT PBE
data_Sc5Hg
_cell_length_a 3.292
_cell_length_b 3.292
_cell_length_c 13.123
_cell_angle_alpha 90.00
_cell_angle_beta 90.00
_cell_angle_gamma 90.00
_symmetry_space_group_name_H-M 'P 4/m m m'
_symmetry_Int_Tables_number 123
_symmetry_space_group_name_Hall '-P 4 2'
loop_
_atom_site_label
_atom_site_type_symbol
_atom_site_fract_x
_atom_site_fract_y
_atom_site_fract_z
_atom_site_occupancy
Sc1 Sc 0.000 0.000 0.000 1
Sc2 Sc 0.000 0.000 0.347 1
Sc3 Sc 0.500 0.500 0.174 1
Hg1 Hg 0.500 0.500 0.500 1
# **VASP energy**: -5.438 eV/atom
# **Volume**: 142 Å³/cell

[7]
# PmMgScHg, relaxed, DFT PBE
data_PmMgScHg
_cell_length_a 3.655
_cell_length_b 3.655
_cell_length_c 7.552
_cell_angle_alpha 90.00
_cell_angle_beta 90.00
_cell_angle_gamma 90.00
_symmetry_space_group_name_H-M 'P 4 m m'
_symmetry_Int_Tables_number 99
loop_
_symmetry_equiv_pos_as_xyz
'x,y,z'
'-y,x,z'
'-x,-y,z'
'y,-x,z'
'-x,y,z'
'y,x,z'
'x,-y,z'
'-y,-x,z'
loop_
_atom_site_label
_atom_site_type_symbol
_atom_site_fract_x
_atom_site_fract_y
_atom_site_fract_z
_atom_site_occupancy
Pm1 Pm 0.000 0.000 0.000 1
Mg1 Mg 0.500 0.500 0.719 1
Sc1 Sc 0.000 0.000 0.490 1
Hg1 Hg 0.500 0.500 0.283 1
# **VASP energy**: -3.499 eV/atom
# **Volume**: 101 Å³/cell

[8]
# RbCa3Ag4Cl12, relaxed, DFT PBE
data_RbCa3Ag4Cl12
_cell_length_a 14.5675
_cell_length_b 14.5675
_cell_length_c 10.5174
_cell_angle_alpha 90.00
_cell_angle_beta 90.00
_cell_angle_gamma 120.00
_symmetry_space_group_name_H-M 'R 3 2'
_symmetry_Int_Tables_number 155
_symmetry_space_group_name_Hall 'R 3 2"'
loop_
_atom_site_label
_atom_site_type_symbol
_atom_site_fract_x
_atom_site_fract_y
_atom_site_fract_z
_atom_site_occupancy
Rb1 Rb 0.0000 0.0000 0.0000 1
Ca1 Ca 0.0000 0.5720 0.0000 1
Ag1 Ag 0.0000 0.0000 0.5000 1
Ag2 Ag 0.0000 0.4066 0.5000 1
Cl1 Cl 0.0000 0.5893 0.5000 1
Cl2 Cl 0.0000 0.8297 0.5000 1
Cl3 Cl 0.0556 0.2051 0.1982 1
# **VASP energy**: -3.446 eV/atom
# **Volume**: 1933 Å³/cell

[9]
# Tm2HI3, relaxed, DFT PBE
data_Tm2HI3
_cell_length_a 19.433
_cell_length_b 3.940
_cell_length_c 11.993
_cell_angle_alpha 90.00
_cell_angle_beta 123.89
_cell_angle_gamma 90.00
_symmetry_space_group_name_H-M 'C 1 2/m 1'
_symmetry_Int_Tables_number 12
loop_
_symmetry_equiv_pos_as_xyz
'x,y,z'
'-x,-y,-z'
'-x,y,-z'
'x,-y,z'
'x+1/2,y+1/2,z'
'-x+1/2,-y+1/2,-z'
'-x+1/2,y+1/2,-z'
'x+1/2,-y+1/2,z'
loop_
_atom_site_label
_atom_site_type_symbol
_atom_site_fract_x
_atom_site_fract_y
_atom_site_fract_z
_atom_site_occupancy
Tm1 Tm 0.068 0.000 0.469 1
Tm2 Tm 0.130 0.500 0.779 1
H1 H 0.075 0.000 0.662 1
I1 I 0.037 0.500 0.249 1
I2 I 0.167 0.000 0.004 1
I3 I 0.212 0.500 0.622 1
# **VASP energy**: -3.802 eV/atom
# **Volume**: 762 Å³/cell

[10]
# LaSBr, relaxed, DFT PBE
data_LaSBr
_cell_length_a 13.6703
_cell_length_b 13.6703
_cell_length_c 11.6023
_cell_angle_alpha 90.00
_cell_angle_beta 90.00
_cell_angle_gamma 120.00
_symmetry_space_group_name_H-M 'R -3'
_symmetry_Int_Tables_number 148
_symmetry_space_group_name_Hall '-R 3'
loop_
_atom_site_label
_atom_site_type_symbol
_atom_site_fract_x
_atom_site_fract_y
_atom_site_fract_z
_atom_site_occupancy
La1 La 0.0474 0.5901 0.3401 1
S1 S 0.0437 0.8106 0.9033 1
Br1 Br 0.0433 0.8259 0.3953 1
# **VASP energy**: -5.556 eV/atom
# **Volume**: 1878 Å³/cell

[11]
# Pa2Co4Ni, relaxed, DFT PBE
data_Pa2Co4Ni
_cell_length_a 7.472
_cell_length_b 7.505
_cell_length_c 3.729
_cell_angle_alpha 90.00
_cell_angle_beta 90.00
_cell_angle_gamma 90.00
_symmetry_space_group_name_H-M 'C m m m'
_symmetry_Int_Tables_number 65
_symmetry_space_group_name_Hall '-C 2 2'
loop_
_atom_site_label
_atom_site_type_symbol
_atom_site_fract_x
_atom_site_fract_y
_atom_site_fract_z
_atom_site_occupancy
Pa1 Pa 0.000 0.225 0.000 1
Co1 Co 0.243 0.500 0.000 1
Co2 Co 0.250 0.250 0.500 1
Ni1 Ni 0.000 0.500 0.500 1
# **VASP energy**: -7.911 eV/atom
# **Volume**: 209 Å³/cell

[12]
# Ca2NiAgH, relaxed, DFT PBE
data_Ca2NiAgH
_cell_length_a 5.110
_cell_length_b 5.110
_cell_length_c 3.532
_cell_angle_alpha 90.00
_cell_angle_beta 90.00
_cell_angle_gamma 90.00
_symmetry_space_group_name_H-M 'P 4/m m m'
_symmetry_Int_Tables_number 123
_symmetry_space_group_name_Hall '-P 4 2'
loop_
_atom_site_label
_atom_site_type_symbol
_atom_site_fract_x
_atom_site_fract_y
_atom_site_fract_z
_atom_site_occupancy
Ca1 Ca 0.000 0.500 0.000 1
Ni1 Ni 0.000 0.000 0.500 1
Ag1 Ag 0.500 0.500 0.500 1
H1 H 0.000 0.000 0.000 1
# **VASP energy**: -3.462 eV/atom
# **Volume**: 92 Å³/cell